Computed, not measured: an optimized crystal structure of Ac8CePb6 at the PBE level of DFT.

Cell lengths 9.9751, 9.9751, 9.1459 Å; angles 56.95, 56.95, 60.00 degrees
Last column: nearest neighbours and their distance in Å.
Fractional coordinates of all 15 atoms:
Ac (0.5630, 0.2297, 0.3113)  5 Pb 3.40-3.63
Ac (0.7703, 0.1039, 0.6887)  5 Pb 3.40-3.63
Ac (0.1039, 0.4370, 0.6887)  5 Pb 3.40-3.63
Ac (0.6662, 0.6662, 0.0015)  6 Pb 3.63-3.64, 6 Ac 3.99-4.00
Ac (0.3338, 0.3338, 0.9985)  6 Pb 3.63-3.64, 6 Ac 3.99-4.00
Ac (0.8961, 0.5630, 0.3113)  5 Pb 3.40-3.63
Ac (0.2297, 0.8961, 0.3113)  5 Pb 3.40-3.63
Ac (0.4370, 0.7703, 0.6887)  5 Pb 3.40-3.63
Ce (0.0000, 0.0000, 0.0000)  6 Pb 3.58, 6 Ac 3.99
Pb (0.3960, 0.0663, 0.8001)  7 Ac 3.40-3.64, 1 Ce 3.58
Pb (0.9337, 0.2624, 0.1999)  7 Ac 3.40-3.64, 1 Ce 3.58
Pb (0.2624, 0.6040, 0.1999)  7 Ac 3.40-3.64, 1 Ce 3.58
Pb (0.7376, 0.3960, 0.8001)  7 Ac 3.40-3.64, 1 Ce 3.58
Pb (0.0663, 0.7376, 0.8001)  7 Ac 3.40-3.64, 1 Ce 3.58
Pb (0.6040, 0.9337, 0.1999)  7 Ac 3.40-3.64, 1 Ce 3.58

Total energy: -66.40 eV/cell
Magnetization: 0.110 μB/atom
Crystal system: trigonal
Formation energy from the elements: -5.3 eV per formula unit